Record 1
VASP calculation (PBE) on a relaxed structure of CaY2WN4.

Properties
**Formation energy (no corrections)**: -1.05 eV/atom

```
CaY2WN4
1.0
3.3373 0.0000 0.0000
-1.6686 6.0465 0.0000
0.0000 0.0000 12.2238
Ca Y W N
2 4 2 8
Cartesian
0.0000 0.8854 9.1678
1.6686 5.1611 3.0559
0.0000 4.5034 6.5747
1.6686 1.5430 0.4628
1.6686 1.5430 5.6491
0.0000 4.5034 11.7610
1.6686 3.8372 9.1678
0.0000 2.2093 3.0559
0.0000 3.1715 1.4446
1.6686 2.8750 7.5565
1.6686 2.8750 10.7792
0.0000 3.1715 4.6673
0.0000 0.0000 6.1119
0.0000 0.0000 0.0000
0.0000 5.1732 9.1678
1.6686 0.8733 3.0559
```

---

Record 2
VASP calculation (PBE) on a relaxed structure of CaY2WN.

Properties
**Formation energy (no corrections)**: -0.25 eV/atom

```
CaY2WN
1.0
-2.1901 -2.1125 -4.1215
-1.0934 -3.2178 2.2303
-4.4216 2.3102 1.1655
Y Ca W N
2 1 1 1
Cartesian
-2.2108 1.1551 0.5827
-1.0951 -1.0563 -2.0607
-3.8525 -1.5101 -0.3628
-0.5467 -1.6089 1.1152
0.0000 0.0000 0.0000
```

---

Record 3
VASP calculation (PBE) on a relaxed structure of Ca2ZnWN4.

Properties
**Formation energy (no corrections)**: -0.78 eV/atom

```
Ca2ZnWN4
1.0
5.5474 0.0000 0.0000
0.0000 6.3509 0.0000
0.0000 0.0000 7.0505
Ca Zn W N
4 2 2 8
Cartesian
2.6757 2.0098 1.7750
2.6757 2.0098 5.2755
5.4494 4.3412 5.3002
5.4494 4.3412 1.7503
5.5275 1.0325 3.5252
2.7538 5.3184 0.0000
2.7719 5.3236 3.5252
5.5456 1.0273 0.0000
1.8471 0.7934 0.0000
4.6208 5.5575 3.5252
1.9880 0.6670 3.5252
4.7618 5.6839 0.0000
2.3518 4.3716 5.1373
5.1255 1.9793 1.6120
5.1255 1.9793 5.4384
2.3518 4.3716 1.9132
```

---

Record 4
VASP calculation (PBE) on a relaxed structure of CaZn2WN4.

Properties
**Formation energy (no corrections)**: -0.54 eV/atom

```
CaZn2WN4
1.0
5.4379 0.0000 0.0000
0.0000 5.7163 0.0000
0.0000 0.0000 7.1701
Ca Zn W N
2 4 2 8
Cartesian
5.3384 1.0301 3.5851
2.6194 4.6862 0.0000
2.7087 1.8733 1.8111
2.7087 1.8733 5.3590
5.4277 3.8430 5.3962
5.4277 3.8430 1.7739
2.7285 4.6322 3.5851
0.0095 1.0841 0.0000
1.8882 1.2558 0.0000
4.6072 4.4605 3.5851
2.3402 0.7851 3.5851
5.0591 4.9312 0.0000
2.0194 3.7906 5.1056
4.7383 1.9257 1.5206
4.7383 1.9257 5.6496
2.0194 3.7906 2.0645
```

---

Record 5
VASP calculation (PBE) on a relaxed structure of CaY2N.

Properties
**Formation energy (no corrections)**: -0.55 eV/atom

```
CaY2N
1.0
7.2172 0.0000 0.0000
0.0000 7.2172 0.0000
3.6086 3.6086 5.1070
Y Ca N
4 2 2
Cartesian
3.7677 1.8043 1.2767
3.4495 5.4129 1.2767
5.4129 7.0581 3.8302
9.0215 7.3763 3.8302
0.0000 0.0000 0.0000
7.2172 3.6086 2.5535
3.6086 3.6086 0.0000
3.6086 7.2172 2.5535
```

---

Record 6
VASP calculation (PBE) on a relaxed structure of Ca3Y2N4.

Properties
**Formation energy (no corrections)**: -1.04 eV/atom

```
Ca3Y2N4
1.0
4.2715 5.0702 0.0007
-4.2715 5.0702 0.0007
0.0000 0.0028 7.1409
Ca Y N
6 4 8
Cartesian
0.8849 8.7870 3.2280
0.8849 1.3548 0.3439
-0.8849 1.3562 3.9144
-0.8849 8.7884 6.7984
-1.2904 5.0709 1.7860
1.2904 5.0723 5.3564
1.1911 6.5151 0.7995
1.1911 3.6267 2.7724
-1.1911 3.6281 6.3429
-1.1911 6.5165 4.3700
-2.9922 3.7685 0.6799
-2.9922 6.3733 2.8920
2.9922 6.3747 6.4625
2.9922 3.7699 4.2504
0.8899 6.2685 3.0985
0.8899 3.8733 0.4734
-0.8899 3.8747 4.0438
-0.8899 6.2699 6.6690
```

---

Record 7
VASP calculation (PBE) on a relaxed structure of CaYN2.

Properties
**Formation energy (no corrections)**: -0.74 eV/atom

```
CaYN2
1.0
5.4071 0.0000 0.0000
0.0000 5.4071 0.0000
2.7036 2.7036 5.2777
Y Ca N
2 2 4
Cartesian
0.0000 0.0000 0.0000
5.4071 2.7036 2.6388
2.7036 2.7036 0.0000
2.7036 5.4071 2.6388
4.1649 1.3518 1.3194
1.2422 4.0553 1.3194
4.0553 3.9457 3.9582
6.7589 6.8685 3.9582
```

---

Record 8
VASP calculation (PBE) on a relaxed structure of CaY2N.

Properties
**Formation energy (no corrections)**: -0.68 eV/atom

```
CaY2N
1.0
-1.2393 3.2235 -0.7314
-3.2174 0.3778 -1.4026
-5.2068 1.7394 7.9695
Y Ca N
2 1 1
Cartesian
-3.8654 1.5451 4.8402
-5.7980 3.7955 0.9952
0.0000 0.0000 0.0000
-4.8317 2.6703 2.9177
```

---

Record 9
VASP calculation (PBE) on a relaxed structure of Ca3YN.

Properties
**Formation energy (no corrections)**: 1.97 eV/atom
**Energy above the lowest structure with this stoichiometry**: 2108 meV/atom

```
Ca3YN
1.0
6.0292 0.0000 0.0000
0.0000 6.0292 0.0000
0.0000 0.0000 6.0292
Y Ca N
1 3 1
Cartesian
0.0000 0.0000 0.0000
0.0000 3.0146 0.0000
0.0000 0.0000 3.0146
3.0146 0.0000 0.0000
3.0146 3.0146 3.0146
```

---

Record 10
VASP calculation (PBE) on a relaxed structure of CaYN2.

Properties
**Formation energy (no corrections)**: -0.46 eV/atom

```
CaYN2
1.0
-0.5698 -3.2498 -2.6805
-2.7563 0.3562 -3.2168
1.4215 0.2675 -3.9974
Y Ca N
1 1 2
Cartesian
-0.9523 -1.3131 -4.9473
0.0000 0.0000 0.0000
-0.4761 -0.6565 -2.4737
-1.4284 -1.9696 -7.4210
```

---

Record 11
VASP calculation (PBE) on a relaxed structure of Ca3YN.

Properties
**Formation energy (no corrections)**: -0.14 eV/atom
**Energy above the lowest structure with this stoichiometry**: 0 meV/atom

```
Ca3YN
1.0
5.1324 0.0000 0.0000
0.0000 5.1324 0.0000
0.0000 0.0000 5.1324
Y Ca N
1 3 1
Cartesian
2.5662 2.5662 2.5662
0.0000 2.5662 0.0000
0.0000 0.0000 2.5662
2.5662 0.0000 0.0000
0.0000 0.0000 0.0000
```

---

Record 12
VASP calculation (PBE) on a relaxed structure of Ca3YN3.

Properties
**Formation energy (no corrections)**: -0.91 eV/atom

```
Ca3YN3
1.0
3.7920 0.0000 0.0000
0.0000 9.0777 0.6715
0.0000 4.8420 8.2050
Ca Y N
6 2 6
Cartesian
2.8440 6.4032 0.6560
2.8440 2.4920 2.8539
2.8440 5.0886 6.8411
0.9480 7.5166 8.2205
0.9480 11.4277 6.0226
0.9480 8.8311 2.0353
0.9480 5.8715 3.6334
2.8440 8.0482 5.2431
0.9480 12.4811 8.2058
0.9480 3.7236 3.2118
0.9480 6.7739 5.8268
2.8440 1.4386 0.6707
2.8440 10.1961 5.6647
2.8440 7.1459 3.0497
```

---

Record 13
VASP calculation (PBE) on a relaxed structure of CaYZnN2.

Properties
**Formation energy (no corrections)**: -0.60 eV/atom

```
CaYZnN2
1.0
-0.2989 -3.2515 4.2622
3.8059 2.7422 2.3589
-4.4563 3.8935 2.6577
Ca Y Zn N
2 2 2 4
Cartesian
-1.4394 4.2891 3.1756
0.4902 -0.9048 6.1032
-1.2635 -0.6516 2.7946
-3.4917 1.2937 4.1253
0.0000 0.0000 0.0000
-2.2281 1.9468 1.3288
2.7136 -0.2708 4.9441
-1.5742 0.1906 4.9953
0.6250 3.1937 4.2835
-3.6628 3.6550 4.3347
```

---

Record 14
VASP calculation (PBE) on a relaxed structure of Ca3YZr2N6.

Properties
**Formation energy (no corrections)**: -1.34 eV/atom

```
Ca3YZr2N6
1.0
-1.5423 -0.5636 -5.6364
5.6516 0.6547 1.4480
-0.8280 -5.6480 1.8121
Ca Y Zr N
3 1 2 6
Cartesian
4.0350 -2.3729 1.1698
-0.7538 -3.1839 -3.5461
1.6406 -2.7784 -1.1882
0.0000 0.0000 0.0000
3.2560 0.2490 -0.9111
0.8533 -0.1579 -3.2773
1.1912 -4.5498 -2.9723
2.7963 -1.1859 -2.6356
2.0901 -1.0071 0.5959
3.6995 -4.1250 -0.5021
0.4849 -4.3710 0.2592
-0.4182 -1.4319 -1.8742
```

---

Record 15
VASP calculation (PBE) on a relaxed structure of CaY2Zr3N6.

Properties
**Formation energy (no corrections)**: -1.65 eV/atom

```
CaY2Zr3N6
1.0
3.3392 0.0000 0.0000
0.0000 6.7547 0.1856
-1.6696 -2.0063 7.0632
Ca Y Zr N
1 2 3 6
Cartesian
1.6696 0.0000 0.0000
1.6696 3.1796 4.8480
0.0000 1.5688 2.4007
1.6696 3.3773 0.0928
1.6696 -0.2169 4.7585
0.0000 4.9653 2.4903
0.0000 4.9486 4.7969
1.6696 3.3489 2.4095
1.6696 -0.2002 2.4519
1.6696 -0.1826 7.0448
0.0000 4.9310 0.2040
0.0000 1.3995 4.8393
```

---

Record 16
VASP calculation (PBE) on a relaxed structure of CaY2ZrN4.

Properties
**Formation energy (no corrections)**: -1.52 eV/atom

```
CaY2ZrN4
1.0
-0.2937 -0.4934 -3.3705
1.9500 -5.5705 0.6455
-5.8623 0.0496 0.5036
Ca Y Zr N
1 2 1 4
Cartesian
0.8281 -3.0319 -1.3625
-3.0780 -0.2219 -1.4334
-1.9561 -2.7605 0.5746
0.0000 0.0000 0.0000
-1.0936 -1.5410 -1.4133
-3.1124 -4.4733 -0.8081
-3.9663 -1.2453 0.5279
0.0540 -4.2756 0.6212
```

---

Record 17
VASP calculation (PBE) on a relaxed structure of Ca3ZnN3.

Properties
**Formation energy (no corrections)**: -0.46 eV/atom

```
Ca3ZnN3
1.0
-0.5509 1.5898 -6.2630
-1.7334 -5.7536 -1.3077
-4.8752 3.5085 1.3197
Ca Zn N
6 2 6
Cartesian
-4.2138 -0.9875 -1.5576
-4.5540 2.5445 -2.3108
-2.6055 -3.1998 -3.9403
-4.2787 1.7500 0.8208
-2.3299 -3.9950 -0.8089
-2.9457 0.3322 -4.6934
-5.5759 -0.5617 -4.6874
-1.5836 -0.0936 -1.5636
-6.3592 -1.7160 -1.5547
-4.1506 -1.7800 -5.1230
-5.1864 1.2737 -4.2568
-3.0089 1.1247 -1.1280
-1.9731 -1.9289 -1.9943
-0.8003 1.0608 -4.6963
```

---

Record 18
VASP calculation (PBE) on a relaxed structure of Ca4ZnN.

Properties
**Formation energy (no corrections)**: -0.38 eV/atom

```
Ca4ZnN
1.0
-1.5809 -2.6915 5.5308
3.1504 -5.6538 -3.4517
5.5971 6.0557 1.7010
Ca Zn N
8 2 2
Cartesian
5.8916 -2.4245 -0.6019
3.0163 -4.1622 -2.6549
2.9627 0.0030 0.5426
6.8034 0.2469 1.3737
1.2750 0.1349 4.3820
4.2040 -2.2926 3.2375
4.1503 1.8726 6.4350
0.3632 -2.5365 2.4064
2.8088 -3.0192 0.3563
4.3578 0.7295 3.4238
-0.2210 -1.7340 4.5624
7.3876 -0.5557 -0.7822
```

---

Record 19
VASP calculation (PBE) on a relaxed structure of Ca6ZnN2.

Properties
**Formation energy (no corrections)**: -0.46 eV/atom
**Energy above the lowest structure with this stoichiometry**: 0 meV/atom

```
Ca6ZnN2
1.0
5.9437 0.0000 3.2291
2.0947 5.5624 3.2291
0.0083 0.0058 7.0695
Ca Zn N
6 1 2
Cartesian
3.5766 1.4632 4.9819
3.3999 4.8762 6.1689
6.2768 2.8315 6.9632
3.3949 3.7199 9.2830
4.2749 0.7965 8.6621
1.5539 1.8661 7.5860
6.2424 4.3196 9.7641
2.3169 1.6032 2.8202
3.8467 2.6618 7.0890
```

---

Record 20
VASP calculation (PBE) on a relaxed structure of CaZn3N.

Properties
**Formation energy (no corrections)**: 0.39 eV/atom
**Energy above the lowest structure with this stoichiometry**: 0 meV/atom

```
CaZn3N
1.0
4.4316 0.0000 0.0000
0.0000 4.4316 0.0000
0.0000 0.0000 4.4316
Zn Ca N
3 1 1
Cartesian
0.0000 2.2158 0.0000
0.0000 0.0000 2.2158
2.2158 0.0000 0.0000
2.2158 2.2158 2.2158
0.0000 0.0000 0.0000
```

---

Number 1: total moment 0.00 Bohr magnetons per cell, electronic total energy -8.698 eV/atom, volume 247 Å³/cell. Number 2: total moment 0.00 Bohr magnetons per cell, electronic total energy -7.492 eV/atom, volume 107 Å³/cell. Number 3: total moment 0.00 Bohr magnetons per cell, electronic total energy -7.224 eV/atom, volume 248 Å³/cell. Number 4: total moment 0.00 Bohr magnetons per cell, electronic total energy -6.890 eV/atom, volume 223 Å³/cell. Number 5: total moment 0.00 Bohr magnetons per cell, electronic total energy -6.363 eV/atom, volume 266 Å³/cell. Number 6: total moment 0.00 Bohr magnetons per cell, electronic total energy -6.841 eV/atom, volume 309 Å³/cell. Number 7: total moment 2.00 Bohr magnetons per cell, electronic total energy -7.023 eV/atom, volume 154 Å³/cell. Number 8: total moment 0.57 Bohr magnetons per cell, electronic total energy -6.494 eV/atom, volume 102 Å³/cell. Number 9: total moment 4.05 Bohr magnetons per cell, electronic total energy -2.192 eV/atom, volume 219 Å³/cell. Number 10: total moment 0.85 Bohr magnetons per cell, electronic total energy -6.739 eV/atom, volume 54 Å³/cell. Number 11: total moment 0.00 Bohr magnetons per cell, electronic total energy -4.300 eV/atom, volume 135 Å³/cell. Number 12: total moment 0.00 Bohr magnetons per cell, electronic total energy -6.264 eV/atom, volume 270 Å³/cell. Number 13: total moment 0.00 Bohr magnetons per cell, electronic total energy -5.877 eV/atom, volume 183 Å³/cell. Number 14: total moment 0.00 Bohr magnetons per cell, electronic total energy -7.970 eV/atom, volume 169 Å³/cell. Number 15: total moment 0.00 Bohr magnetons per cell, electronic total energy -9.193 eV/atom, volume 161 Å³/cell. Number 16: total moment 0.00 Bohr magnetons per cell, electronic total energy -8.620 eV/atom, volume 113 Å³/cell. Number 17: total moment 1.55 Bohr magnetons per cell, electronic total energy -5.070 eV/atom, volume 229 Å³/cell. Number 18: total moment 0.00 Bohr magnetons per cell, electronic total energy -3.310 eV/atom, volume 329 Å³/cell. Number 19: total moment 0.00 Bohr magnetons per cell, electronic total energy -3.783 eV/atom, volume 234 Å³/cell. Number 20: total moment 0.00 Bohr magnetons per cell, electronic total energy -2.439 eV/atom, volume 87 Å³/cell.